The following is a GGA-PBE calculation of a geometry-optimized EuNbP2 structure, from Alexandria via LeMat-Bulk.

Crystal system   trigonal
Formation enthalpy at 0 K   -994 meV per atom
N(E_F)   1.8 states/eV per cell

abc: 3.745 3.745 6.910
angles: 74.28 74.28 60.00
Each line ends with the local moment (μB).
Element x y z (fractional)
P 0.739 0.739 0.784  -0.03
P 0.261 0.261 0.216  -0.03
Eu 0.500 0.500 0.500  6.67
Nb 0.000 0.000 0.000  -0.17



The following is a GGA-PBE calculation of a geometry-optimized Sc2SbCSe structure, from Alexandria via LeMat-Bulk.

ΔE_f (raw)   1457 meV per atom
Crystal system   tetragonal
N(E_F)   3.2 states/eV per cell

abc: 5.436 5.237 5.436
angles: 90.00 90.00 90.00
Each line ends with the local moment (μB).
Element x y z (fractional)
Sb 0.000 0.000 0.000  0.01
Se 0.000 0.500 0.000  0.09
C 0.500 0.500 0.500  0.81
Sc 0.000 0.000 0.500  -0.27
Sc 0.500 0.000 0.000  -0.17



Question: Which formula does entry 1 have?
Answer: EuNbP2



Question: What is the formula in the second record?
Answer: Sc2SbCSe



Question: Number 2 is which compound?
Answer: Sc2SbCSe